(1)
Density functional theory data (PBE-GGA) for an optimized crystal structure of Sc2PPt2.

Cell: 5.2227 5.2227 7.3395 Å, 90.00 90.00 90.00°
Space group I4/mmm (No. 139)
Asymmetric unit:
Sc  0.0000  0.5000  0.2500 [4 per cell]
P  0.0000  0.0000  0.0000 [2 per cell]
Pt  0.0000  0.0000  0.3310 [4 per cell]

Calculated values
Excess energy over the best structure of this formula in the dataset (meV per atom): 221
Volume (Å³/cell): 200.2
Calculated formation energy (meV/atom): -697.7

(2)
Density functional theory data (PBE-GGA) for an optimized crystal structure of Sc4PPt.

Cell: 7.7981 7.7981 7.7981 Å, 90.00 90.00 90.00°
Space group F-43m (No. 216)
Asymmetric unit:
Sc  0.1249  0.1249  0.1249 [16 per cell]
P  0.2500  0.2500  0.7500 [4 per cell]
Pt  0.0000  0.0000  0.5000 [4 per cell]

Calculated values
Volume (Å³/cell): 474.2
Calculated formation energy (meV/atom): 153.5

(3)
Density functional theory data (PBE-GGA) for an optimized crystal structure of Sc2PPt.

Cell: 4.0089 4.0089 18.4676 Å, 90.00 90.00 120.00°
Space group R3m (No. 160, hexagonal axes)
Asymmetric unit:
Sc  0.0000  0.0000  0.0000 [3 per cell]
Sc  0.0000  0.0000  0.1842 [3 per cell]
P  0.0000  0.0000  0.7452 [3 per cell]
Pt  0.0000  0.0000  0.4352 [3 per cell]

Calculated values
Excess energy over the best structure of this formula in the dataset (meV per atom): 528
Volume (Å³/cell): 257.0
Calculated formation energy (meV/atom): -768.6

(4)
Density functional theory data (PBE-GGA) for an optimized crystal structure of Sc3PPt.

Cell: 4.7952 4.7952 4.7952 Å, 90.00 90.00 90.00°
Space group Pm-3m (No. 221)
Asymmetric unit:
Sc  0.0000  0.0000  0.5000 [3 per cell]
P  0.0000  0.0000  0.0000 [1 per cell]
Pt  0.5000  0.5000  0.5000 [1 per cell]

Calculated values
Excess energy over the best structure of this formula in the dataset (meV per atom): 0
Volume (Å³/cell): 110.3
Calculated formation energy (meV/atom): -554.3

(5)
Density functional theory data (PBE-GGA) for an optimized crystal structure of Sc2PPt2.

Cell: 6.9494 6.9494 3.7383 Å, 90.00 90.00 90.00°
Space group P4/mbm (No. 127)
Asymmetric unit:
Sc  0.1703  0.3297  0.0000 [4 per cell]
P  0.0000  0.0000  0.5000 [2 per cell]
Pt  0.1376  0.6376  0.5000 [4 per cell]

Calculated values
Excess energy over the best structure of this formula in the dataset (meV per atom): 0
Volume (Å³/cell): 180.5
Calculated formation energy (meV/atom): -918.5

(6)
Density functional theory data (PBE-GGA) for an optimized crystal structure of Sc2PPt.

Cell: 4.5804 4.5804 3.3878 Å, 90.00 90.00 90.00°
Space group P4/mmm (No. 123)
Asymmetric unit:
Sc  0.0000  0.5000  0.0000 [2 per cell]
P  0.0000  0.0000  0.5000 [1 per cell]
Pt  0.5000  0.5000  0.5000 [1 per cell]

Calculated values
Excess energy over the best structure of this formula in the dataset (meV per atom): 233
Volume (Å³/cell): 71.1
Calculated formation energy (meV/atom): -1063.4

(7)
Density functional theory data (PBE-GGA) for an optimized crystal structure of Sc2PPt.

Cell: 3.8247 3.8247 5.3997 Å, 90.00 90.00 90.00°
Space group P4/mmm (No. 123)
Asymmetric unit:
Sc  0.0000  0.0000  0.0000 [1 per cell]
Sc  0.5000  0.5000  0.5000 [1 per cell]
P  0.0000  0.0000  0.5000 [1 per cell]
Pt  0.5000  0.5000  0.0000 [1 per cell]

Calculated values
Excess energy over the best structure of this formula in the dataset (meV per atom): 191
Volume (Å³/cell): 79.0
Calculated formation energy (meV/atom): -1106.0

(8)
Density functional theory data (PBE-GGA) for an optimized crystal structure of Sc2PPt.

Cell: 3.7288 3.7288 24.4583 Å, 90.00 90.00 120.00°
Space group R-3m (No. 166, hexagonal axes)
Asymmetric unit:
Sc  0.0000  0.0000  0.1023 [6 per cell]
P  0.0000  0.0000  0.0000 [3 per cell]
Pt  0.0000  0.0000  0.5000 [3 per cell]

Calculated values
Excess energy over the best structure of this formula in the dataset (meV per atom): 922
Volume (Å³/cell): 294.5
Calculated formation energy (meV/atom): -374.6